V2SiTc (GGA-PBE, relaxed); crystal system = tetragonal; DOS(E_F) = 0.633 states/eV per atom; formation energy without anion corrections = -0.345 eV/atom; total DFT energy (no corrections) = -8.852 eV/atom; symmetry = No. 123
1.0
-1.689 -3.149 -1.445
1.143 -1.969 2.955
-3.152 0.867 1.796
V Si Tc
2 1 1
Direct
0.000 0.000 0.500 V
0.000 0.500 0.000 V
0.500 0.500 0.500 Si
0.500 0.000 0.000 Tc